Density functional theory data (PBE with a Hubbard U) for a relaxed structure of CoGeI2O.

Calculated values
SG: P4/mmm (123)
ρ (g/cm3): 5.68
Calculated total energy (eV per atom): -3.59

Cell lengths 5.671, 5.671, 3.648 Å; angles 90.00, 90.00, 90.00 degrees
Positions (direct):
I  0.000  0.500  0.000
I  0.500  0.000  0.000
Ge  0.500  0.500  0.500
Co  0.000  0.000  0.000
O  0.000  0.000  0.500